Record 1
DFT (GGA-PBE) results for a relaxed structure of HoLu2Ga. Values from VASP.

The structure in Quantum ESPRESSO input format:
```
&SYSTEM
  ibrav = 0, nat = 16, ntyp = 3
/
ATOMIC_SPECIES
Ho 164.93 Ho.upf
Lu 174.97 Lu.upf
Ga 69.72 Ga.upf
ATOMIC_POSITIONS crystal
Ho 0.0000 0.0000 0.0000
Ho 0.0000 0.5000 0.5000
Ho 0.5000 0.0000 0.3122
Ho 0.5000 0.5000 0.8122
Lu 0.0000 0.0000 0.4943
Lu 0.0000 0.5000 0.9943
Lu 0.5000 0.0000 0.8214
Lu 0.5000 0.2463 0.5799
Lu 0.5000 0.2537 0.0799
Lu 0.5000 0.5000 0.3214
Lu 0.5000 0.7463 0.0799
Lu 0.5000 0.7537 0.5799
Ga 0.0000 0.2321 0.7311
Ga 0.0000 0.2679 0.2311
Ga 0.0000 0.7321 0.2311
Ga 0.0000 0.7679 0.7311
CELL_PARAMETERS angstrom
5.1621 0.0000 0.0000
0.0000 6.8675 0.0000
0.0000 0.0000 11.6730
```

Its space group is Amm2 (38). Its energy above the most stable polymorph in this dataset is 0.1118 eV per atom.

Record 2
DFT (GGA-PBE) results for a relaxed structure of HoLuGa2Pd4. Values from VASP.

The structure in Quantum ESPRESSO input format:
```
&SYSTEM
  ibrav = 0, nat = 8, ntyp = 4
/
ATOMIC_SPECIES
Ho 164.93 Ho.upf
Lu 174.97 Lu.upf
Ga 69.72 Ga.upf
Pd 106.42 Pd.upf
ATOMIC_POSITIONS crystal
Ho 0.0000 0.0000 0.0000
Lu 0.6667 0.3333 0.5000
Ga 0.3333 0.6667 0.2510
Ga 0.3333 0.6667 0.7490
Pd 0.0000 0.0000 0.3356
Pd 0.0000 0.0000 0.6644
Pd 0.6667 0.3333 0.1698
Pd 0.6667 0.3333 0.8302
CELL_PARAMETERS angstrom
4.3835 0.0000 0.0000
-2.1917 3.7962 0.0000
0.0000 0.0000 8.9413
```

Its space group is P-6m2 (187).

What are the total DFT energy (no corrections) values for these records? In order: -68.9; -43.1 eV per cell.